# Sr2MnBiF

A relaxed structure of Sr2MnBiF (PBE with a Hubbard U, Alexandria).

Lattice parameters (Å, degrees): 6.565 6.565 4.695 90.00 90.00 90.00
Element x y z (fractional)
Sr1 0.000 0.500 0.000
Sr2 0.500 0.000 0.000
Mn1 0.000 0.000 0.500
Bi1 0.500 0.500 0.000
F1 0.500 0.500 0.500

Values from the calculation:
Space group: P4/mmm
Magnetization in μB per formula unit: 5.46
Uncorrected energy in eV/atom: -3.6840